[1]
This record from Alexandria describes an optimized crystal structure of Pm7Y2Sc. The functional is PBE-GGA.

Properties
Calculated total energy, eV/atom: -4.59
Space-group type: Cmmm, No. 65

Cell and atoms, written as POSCAR:
```
Pm7Y2Sc
1.0
5.1256 0.0000 0.0000
0.0000 9.8200 -0.9061
0.0000 -5.2390 8.3551
Pm Y Sc
7 2 1
Direct
0.0000 0.8083 0.1916 Pm
0.0000 0.1917 0.8084 Pm
0.5000 0.0770 0.2845 Pm
0.5000 0.9230 0.7155 Pm
0.5000 0.2845 0.0770 Pm
0.5000 0.7155 0.9230 Pm
0.5000 0.5000 0.5000 Pm
0.5000 0.7040 0.2960 Y
0.5000 0.2960 0.7040 Y
0.0000 0.0000 0.0000 Sc
```

***

[2]
This record from Alexandria describes an optimized crystal structure of Pm6Y4Sc. The functional is PBE-GGA.

Properties
Calculated total energy, eV/atom: -5.39
Space-group type: Cmcm, No. 63

Cell and atoms, written as POSCAR:
```
Pm6Y4Sc
1.0
-5.6159 1.0359 -0.9577
2.2387 -5.0567 -1.0924
-5.5120 -7.6379 24.0603
Pm Y Sc
12 8 2
Direct
0.5000 0.0000 0.0000 Pm
0.5000 0.0000 0.5000 Pm
0.1316 0.2632 0.3161 Pm
0.8684 0.7368 0.6839 Pm
0.8684 0.7368 0.8161 Pm
0.1316 0.2632 0.1839 Pm
0.8053 0.6106 0.3949 Pm
0.1947 0.3894 0.6051 Pm
0.1947 0.3894 0.8949 Pm
0.8053 0.6106 0.1051 Pm
0.4613 0.9226 0.2500 Pm
0.5387 0.0774 0.7500 Pm
0.8470 0.6940 0.5446 Y
0.4649 0.9298 0.1237 Y
0.1530 0.3060 0.4554 Y
0.5351 0.0702 0.8763 Y
0.8470 0.6940 0.9554 Y
0.1530 0.3060 0.0446 Y
0.5351 0.0702 0.6237 Y
0.4649 0.9298 0.3763 Y
0.7979 0.5957 0.2500 Sc
0.2021 0.4043 0.7500 Sc
```

***

[3]
This record from Alexandria describes an optimized crystal structure of Pm3YSc3. The functional is PBE-GGA.

Properties
Energy above the lowest structure with this stoichiometry, meV per atom: 0
Space-group type: P6_3/m, No. 176

Cell and atoms, written as POSCAR:
```
Pm3YSc3
1.0
-3.9523 3.3959 1.9198
-5.6586 -7.3069 1.2755
5.6924 2.7455 6.8626
Pm Y Sc
6 2 6
Direct
0.2500 0.7980 0.7525 Pm
0.2500 0.2475 0.0454 Pm
0.2500 0.9546 0.2020 Pm
0.7500 0.2020 0.2475 Pm
0.7500 0.7525 0.9546 Pm
0.7500 0.0454 0.7980 Pm
0.2500 0.6667 0.3333 Y
0.7500 0.3333 0.6667 Y
0.7500 0.6127 0.5171 Sc
0.7500 0.4829 0.0956 Sc
0.7500 0.9044 0.3873 Sc
0.2500 0.3873 0.4829 Sc
0.2500 0.5171 0.9044 Sc
0.2500 0.0956 0.6127 Sc
```

***

[4]
This record from Alexandria describes an optimized crystal structure of Pm4Y3Sc. The functional is PBE-GGA.

Properties
Energy above the lowest structure with this stoichiometry, meV per atom: 205
Space-group type: C2/m, No. 12

Cell and atoms, written as POSCAR:
```
Pm4Y3Sc
1.0
3.4141 0.0000 -0.4308
-0.0886 6.0972 -0.7020
-0.1428 0.3496 12.6129
Y Sc Pm
3 1 4
Direct
0.0000 0.5000 0.0000 Y
0.1418 0.7442 0.2836 Y
0.8582 0.2558 0.7164 Y
0.5000 0.0000 0.0000 Sc
0.7201 0.2379 0.4401 Pm
0.2799 0.7621 0.5599 Pm
0.1022 0.2297 0.2045 Pm
0.8978 0.7703 0.7955 Pm
```

***

[5]
This record from Alexandria describes an optimized crystal structure of Pm6YSc3. The functional is PBE-GGA.

Properties
Energy above the lowest structure with this stoichiometry, meV per atom: 0
Space-group type: Cmc2_1, No. 36

Cell and atoms, written as POSCAR:
```
Pm6YSc3
1.0
-6.1608 0.9787 0.9032
-2.3111 -10.2336 -4.6749
2.0734 3.0000 10.8914
Pm Y Sc
12 2 6
Direct
0.0857 0.7358 0.6214 Pm
0.5857 0.6214 0.7358 Pm
0.3218 0.4565 0.8944 Pm
0.8218 0.8944 0.4565 Pm
0.2715 0.9857 0.0143 Pm
0.8049 0.3032 0.6968 Pm
0.3049 0.6968 0.3032 Pm
0.7715 0.0143 0.9857 Pm
0.3218 0.1056 0.5435 Pm
0.8218 0.5435 0.1056 Pm
0.0857 0.3786 0.2642 Pm
0.5857 0.2642 0.3786 Pm
0.0113 0.1536 0.8464 Y
0.5113 0.8464 0.1536 Y
0.4891 0.9585 0.7062 Sc
0.9891 0.7062 0.9585 Sc
0.1043 0.4175 0.5825 Sc
0.6043 0.5825 0.4175 Sc
0.9891 0.0415 0.2938 Sc
0.4891 0.2938 0.0415 Sc
```

***

[6]
This record from Alexandria describes an optimized crystal structure of PmY9Sc2. The functional is PBE-GGA.

Properties
Calculated total energy, eV/atom: -6.26
Space-group type: P4/mmm, No. 123

Cell and atoms, written as POSCAR:
```
PmY9Sc2
1.0
4.9948 0.0000 0.0000
0.0000 4.9948 0.0000
0.0000 0.0000 14.9614
Pm Y Sc
1 9 2
Direct
0.0000 0.0000 0.0000 Pm
0.5000 0.5000 0.0000 Y
0.5000 0.5000 0.3372 Y
0.5000 0.5000 0.6628 Y
0.5000 0.0000 0.1725 Y
0.5000 0.0000 0.5000 Y
0.5000 0.0000 0.8275 Y
0.0000 0.5000 0.1725 Y
0.0000 0.5000 0.5000 Y
0.0000 0.5000 0.8275 Y
0.0000 0.0000 0.3359 Sc
0.0000 0.0000 0.6641 Sc
```

***

[7]
This record from Alexandria describes an optimized crystal structure of PmScZn. The functional is PBE-GGA.

Properties
Energy above the lowest structure with this stoichiometry, meV per atom: 0
Space-group type: I4mm, No. 107

Cell and atoms, written as POSCAR:
```
PmScZn
1.0
-2.6991 -1.4226 1.7086
0.6698 -3.0828 -1.5087
4.6374 0.8220 4.4317
Sc Zn Pm
1 1 1
Direct
0.3034 0.3034 0.6068 Sc
0.6839 0.6839 0.3679 Zn
0.0127 0.0127 0.0253 Pm
```

***

[8]
This record from Alexandria describes an optimized crystal structure of PmScZn17. The functional is PBE-GGA.

Properties
Calculated total energy, eV/atom: -1.93
Space-group type: R3m, No. 160

Cell and atoms, written as POSCAR:
```
PmScZn17
1.0
-0.7029 -6.7054 0.6402
6.5851 -1.5189 0.4428
0.3714 -0.2647 6.7571
Pm Sc Zn
1 1 17
Direct
0.6646 0.6646 0.6646 Pm
0.3325 0.3325 0.3325 Sc
0.2961 0.0035 0.6996 Zn
0.6996 0.2961 0.0035 Zn
0.0035 0.6996 0.2961 Zn
0.2961 0.6996 0.0035 Zn
0.0035 0.2961 0.6996 Zn
0.6996 0.0035 0.2961 Zn
0.3501 0.8465 0.3501 Zn
0.3501 0.3501 0.8465 Zn
0.8465 0.3501 0.3501 Zn
0.6427 0.1698 0.6427 Zn
0.6427 0.6427 0.1698 Zn
0.1698 0.6427 0.6427 Zn
0.9948 0.5043 0.9948 Zn
0.9948 0.9948 0.5043 Zn
0.5043 0.9948 0.9948 Zn
0.9043 0.9043 0.9043 Zn
0.1044 0.1044 0.1044 Zn
```

***

[9]
This record from Alexandria describes an optimized crystal structure of PmScZn2. The functional is PBE-GGA.

Properties
Energy above the lowest structure with this stoichiometry, meV per atom: 9
Space-group type: Fm-3m, No. 225

Cell and atoms, written as POSCAR:
```
PmScZn2
1.0
4.9764 0.0000 0.0000
2.4882 4.3097 0.0000
2.4882 1.4366 4.0632
Sc Zn Pm
1 2 1
Direct
0.5000 0.5000 0.5000 Sc
0.2500 0.2500 0.2500 Zn
0.7500 0.7500 0.7500 Zn
0.0000 0.0000 0.0000 Pm
```

***

[10]
This record from Alexandria describes an optimized crystal structure of PmSc2Zn. The functional is PBE-GGA.

Properties
Energy above the lowest structure with this stoichiometry, meV per atom: 107
Space-group type: P4/mmm, No. 123

Cell and atoms, written as POSCAR:
```
PmSc2Zn
1.0
4.6258 0.0000 0.0000
0.0000 4.5351 0.0000
0.0000 0.0000 4.5351
Sc Zn Pm
2 1 1
Direct
0.0000 0.0000 0.5000 Sc
0.0000 0.5000 0.0000 Sc
0.5000 0.5000 0.5000 Zn
0.5000 0.0000 0.0000 Pm
```

***

[11]
This record from Alexandria describes an optimized crystal structure of PmScZn4. The functional is PBE-GGA.

Properties
Energy above the lowest structure with this stoichiometry, meV per atom: 0
Space-group type: P6/mmm, No. 191

Cell and atoms, written as POSCAR:
```
PmScZn4
1.0
4.4181 -0.0198 -0.0252
-2.1935 3.8273 -0.2217
0.0421 0.4240 6.9765
Pm Sc Zn
1 1 4
Direct
0.0040 0.4994 0.4982 Pm
0.0040 0.4994 0.9982 Sc
0.6705 0.8325 0.2092 Zn
0.3375 0.1664 0.7870 Zn
0.6708 0.8330 0.7869 Zn
0.3372 0.1659 0.2093 Zn
```

***

[12]
This record from Alexandria describes an optimized crystal structure of Pm6ScZn2. The functional is PBE-GGA.

Properties
Calculated total energy, eV/atom: -4.27
Space-group type: C2/m, No. 12

Cell and atoms, written as POSCAR:
```
Pm6ScZn2
1.0
3.6092 0.0000 0.5730
1.5879 6.1450 1.6516
0.0073 -0.1418 11.6070
Pm Sc Zn
6 1 2
Direct
0.6859 0.5064 0.1218 Pm
0.3141 0.4936 0.8782 Pm
0.3122 0.7814 0.5941 Pm
0.9695 0.7373 0.3237 Pm
0.0305 0.2627 0.6763 Pm
0.6878 0.2186 0.4059 Pm
0.0000 0.0000 0.0000 Sc
0.3618 0.0957 0.1807 Zn
0.6382 0.9043 0.8193 Zn
```